(1)
First-principles (PBE-GGA) data for a geometry-optimized TbTlSnHg structure, as listed in Alexandria via LeMat-Bulk.

Energy above the lowest structure with this stoichiometry   171 meV per atom
Calculated total energy   -0.2227 Ry per atom
DFT formation energy   -205 meV/atom

The structure in CIF format:
```
data_TbTlSnHg
_space_group_name_H-M_alt 'F -4 3 m'
_space_group_IT_number 216
_space_group_name_Hall 'F -4 2 3'
_cell_length_a 7.608
_cell_length_b 7.608
_cell_length_c 7.608
_cell_angle_alpha 90.00
_cell_angle_beta 90.00
_cell_angle_gamma 90.00
loop_
_atom_site_label
_atom_site_fract_x
_atom_site_fract_y
_atom_site_fract_z
Tb1 0.000 0.000 0.000
Tl1 0.000 0.000 0.500
Sn1 0.250 0.250 0.750
Hg1 0.250 0.250 0.250
```

(2)
First-principles (PBE-GGA) data for a geometry-optimized Zr2ScGe2 structure, as listed in Alexandria via LeMat-Bulk.

Energy above the lowest structure with this stoichiometry   456 meV per atom
Calculated total energy   -0.5052 Ry per atom
DFT formation energy   -341 meV/atom

The structure in CIF format:
```
data_Zr2ScGe2
_space_group_name_H-M_alt 'P 4/m b m'
_space_group_IT_number 127
_space_group_name_Hall '-P 4 2ab'
_cell_length_a 8.176
_cell_length_b 8.176
_cell_length_c 3.069
_cell_angle_alpha 90.00
_cell_angle_beta 90.00
_cell_angle_gamma 90.00
loop_
_atom_site_label
_atom_site_fract_x
_atom_site_fract_y
_atom_site_fract_z
Zr1 0.127 0.373 0.000
Sc1 0.000 0.000 0.000
Ge1 0.172 0.672 0.500
```

no.,magnetic moment (μB/cell)
1,0.00
2,0.80